The following is a GGA-PBE calculation of Np2GeBPt6 after structural relaxation, from the Alexandria database.

Structure (extended XYZ):
```
20
Lattice="5.6901 0.0000 0.0000 0.0000 7.4450 0.0000 0.0000 0.0000 8.5825" Properties=species:S:1:pos:R:3 pbc="T T T"
Np 2.8450 5.3073 2.4873
Np 0.0000 2.1376 6.7785
Np 2.8450 5.3073 6.0952
Np 0.0000 2.1376 1.8039
Ge 0.0000 5.0658 4.2912
Ge 2.8450 2.3792 0.0000
B 2.8450 1.4638 4.2912
B 0.0000 5.9812 0.0000
Pt 2.8450 1.1426 2.1701
Pt 2.8450 1.1426 6.4124
Pt 0.0000 6.3024 2.1212
Pt 0.0000 6.3024 6.4613
Pt 1.3846 7.3968 4.2912
Pt 4.3055 7.3968 4.2912
Pt 1.4453 3.0474 4.2912
Pt 4.2447 3.0474 4.2912
Pt 4.2904 4.3975 0.0000
Pt 1.3997 4.3975 0.0000
Pt 1.4605 0.0482 0.0000
Pt 4.2296 0.0482 0.0000
```

Calculated values
The space-group type is Pmmn. For the energy of formation from the pure elements, the calculation gives -0.50 eV/atom.

The following is a GGA-PBE calculation of GeBO3 after structural relaxation, from the Alexandria database.

Structure (extended XYZ):
```
10
Lattice="-0.2805 -0.9252 -2.4389 5.4485 1.9730 0.0361 -0.8215 -8.9545 3.4915" Properties=species:S:1:pos:R:3 pbc="T T T"
Ge 0.1320 -8.9272 1.9603
Ge 4.2144 1.0204 -0.8717
B 4.1366 -5.0412 0.0257
B 0.2099 -2.8656 1.0629
O 3.8999 -4.1140 1.1122
O 0.4465 -3.7928 -0.0236
O 2.2579 -7.6974 1.2494
O 2.0886 -0.2094 -0.1608
O -0.1645 -7.1257 2.7221
O 4.5109 -0.7811 -1.6335
```

Calculated values
The space-group type is C2/m. As for the formation energy from raw total energies: -1647.4 meV/atom.

The following is a GGA-PBE calculation of GeBO3 after structural relaxation, from the Alexandria database.

Structure (extended XYZ):
```
5
Lattice="3.6742 0.0000 0.0000 0.0000 3.6742 0.0000 0.0000 0.0000 3.6742" Properties=species:S:1:pos:R:3 pbc="T T T"
Ge 0.0000 0.0000 0.0000
B 1.8371 1.8371 1.8371
O 0.0000 1.8371 0.0000
O 0.0000 0.0000 1.8371
O 1.8371 0.0000 0.0000
```

Calculated values
The space-group type is Pm-3m. As for the formation energy from raw total energies: 144.5 meV/atom.

The following is a GGA-PBE calculation of GeB2O5 after structural relaxation, from the Alexandria database.

Structure (extended XYZ):
```
8
Lattice="3.8934 -2.1306 2.6890 -3.0001 4.5871 1.9994 -0.8524 -1.7354 7.3033" Properties=species:S:1:pos:R:3 pbc="T T T"
Ge -0.7377 -1.6456 7.0704
B 1.5364 -0.9466 1.8349
B 0.7478 0.0287 5.4296
O 0.3270 -1.5223 8.4827
O -2.1797 2.4627 3.6869
O 2.6463 -0.9351 2.6566
O 0.4999 0.8473 4.3434
O 0.0100 -1.1263 5.5627
```

Calculated values
The space-group type is P1. As for the formation energy from raw total energies: -2056.6 meV/atom.

The following is a GGA-PBE calculation of GeBO after structural relaxation, from the Alexandria database.

Structure (extended XYZ):
```
6
Lattice="-0.5071 1.9772 1.4748 -5.4101 -0.6903 1.2153 -0.5603 -2.9271 5.8815" Properties=species:S:1:pos:R:3 pbc="T T T"
B -5.2072 -1.9412 5.1120
B -1.2703 0.3010 3.4596
O -5.1804 -0.4158 5.2262
O -1.2971 -1.2244 3.3455
Ge -1.5368 0.4692 0.9926
Ge -4.9407 -2.1094 7.5791
```

Calculated values
The space-group type is C2/m. As for the formation energy from raw total energies: -528.6 meV/atom.

The following is a GGA-PBE calculation of Ge2BO6 after structural relaxation, from the Alexandria database.

Structure (extended XYZ):
```
18
Lattice="5.1682 0.3999 0.3872 1.9514 7.2069 -0.8405 1.9514 -0.6065 7.2304" Properties=species:S:1:pos:R:3 pbc="T T T"
Ge 3.3322 4.2549 5.4440
Ge 3.1547 1.2214 2.5072
Ge 5.7388 2.7454 1.3331
Ge 5.9163 5.7789 4.2699
B 3.2435 1.3696 5.3893
B 5.8276 5.6308 1.3878
O 4.2317 5.2721 4.3299
O 2.2553 2.3020 1.4544
O 4.8394 1.7282 2.4472
O 6.8158 4.6984 5.3226
O 6.5350 5.8027 2.6386
O 5.1201 4.3751 1.2565
O 2.5360 1.1976 4.1385
O 3.9509 2.6252 5.5206
O 6.7752 5.9310 0.2669
O 4.8799 6.7414 1.0514
O 2.2958 1.0693 6.5102
O 4.1911 0.2590 5.7257
```

Calculated values
The space-group type is C2/c. As for the formation energy from raw total energies: -1573.7 meV/atom.